Record 1
This record from Alexandria describes crystalline KRb2Tc at its relaxed geometry. The functional is PBE-GGA.

Unit cell a=6.5553 b=6.5553 c=6.5553 alpha=60.00 beta=60.00 gamma=60.00
Sites, in units of the cell vectors:
K1 0.0000 0.0000 0.0000
Rb1 0.2500 0.2500 0.2500
Rb2 0.7500 0.7500 0.7500
Tc1 0.5000 0.5000 0.5000

Properties
**Calculated formation energy**: 4.905 eV per formula unit
**Polymorph energy (0 for the lowest one)**: 0 meV per atom
**E_tot**: -2.123 eV per atom

---

Record 2
This record from Alexandria describes crystalline ZrIn2W at its relaxed geometry. The functional is PBE-GGA.

Unit cell a=3.0949 b=3.0949 c=9.0446 alpha=90.00 beta=90.00 gamma=90.00
Sites, in units of the cell vectors:
Zr1 0.0000 0.0000 0.0000
In1 0.0000 0.0000 0.5596
In2 0.5000 0.5000 0.2709
W1 0.5000 0.5000 0.7857

Properties
**Calculated formation energy**: 1.349 eV per formula unit
**Polymorph energy (0 for the lowest one)**: 129 meV per atom
**E_tot**: -6.407 eV per atom

---

Record 3
This record from Alexandria describes crystalline K5Tl6Cd at its relaxed geometry. The functional is PBE-GGA.

Unit cell a=8.5118 b=8.5118 c=10.3925 alpha=90.07 beta=90.07 gamma=142.71
Sites, in units of the cell vectors:
K1 0.0000 0.0000 0.0000
K2 0.3280 0.6720 0.0000
K3 0.3359 0.6641 0.5000
K4 0.6641 0.3359 0.5000
K5 0.6720 0.3280 0.0000
Tl1 0.1200 0.8785 0.2741
Tl2 0.1215 0.8800 0.7259
Tl3 0.4999 0.4999 0.2444
Tl4 0.5001 0.5001 0.7556
Tl5 0.8785 0.1200 0.2741
Tl6 0.8800 0.1215 0.7259
Cd1 0.0000 0.0000 0.5000

Properties
**Calculated formation energy**: -0.636 eV per formula unit
**E_tot**: -1.770 eV per atom

---

Record 4
This record from Alexandria describes crystalline K2TlOs at its relaxed geometry. The functional is PBE-GGA.

Unit cell a=3.7568 b=3.7568 c=10.0815 alpha=90.00 beta=90.00 gamma=90.00
Sites, in units of the cell vectors:
K1 0.0000 0.0000 0.0000
K2 0.5000 0.5000 0.4124
Tl1 0.5000 0.5000 0.7344
Os1 0.0000 0.0000 0.6751

Properties
**Calculated formation energy**: 3.165 eV per formula unit
**Polymorph energy (0 for the lowest one)**: 88 meV per atom
**E_tot**: -3.157 eV per atom

---

Question: Which of these has the highest calculated formation energy?
Answer: KRb2Tc

---

Please write out number 1 again, unchanged.
This record from Alexandria describes crystalline KRb2Tc at its relaxed geometry. The functional is PBE-GGA.

Unit cell a=6.5553 b=6.5553 c=6.5553 alpha=60.00 beta=60.00 gamma=60.00
Sites, in units of the cell vectors:
K1 0.0000 0.0000 0.0000
Rb1 0.2500 0.2500 0.2500
Rb2 0.7500 0.7500 0.7500
Tc1 0.5000 0.5000 0.5000

Properties
**Calculated formation energy**: 4.905 eV per formula unit
**Polymorph energy (0 for the lowest one)**: 0 meV per atom
**E_tot**: -2.123 eV per atom

---

Question: Among the records above, which one has the lowest E_tot?
Answer: ZrIn2W